CrPtCl2: optimized geometry, PBE.

Size of the total moment: 3.99 μB/f.u.
D(E_F): 0.446 states/eV/atom
Mass density: 6740 kg/m³
Volume: 78 Å³ per cell
E_form (uncorrected): 3.0 kcal/mol of atoms

Cell: 4.4224 3.9407 4.4955 Å, 90.00 90.31 90.00°
Space group P2/m (No. 10)
Inequivalent atoms, fractional coordinates:
Cr 0.0000 0.0000 0.0000 [1 per cell]
Pt 0.5000 0.0000 0.5000 [1 per cell]
Cl 0.2485 0.5000 0.7513 [2 per cell]



CrPtCl2: optimized geometry, PBE.

Size of the total moment: 4.28 μB/f.u.
D(E_F): 0.394 states/eV/atom
Mass density: 6749 kg/m³
Volume: 156 Å³ per cell
E_form (uncorrected): 1.6 kcal/mol of atoms

Cell: 6.3030 7.8191 4.4372 Å, 90.00 134.32 90.00°
Space group C2/m (No. 12)
Inequivalent atoms, fractional coordinates:
Cr 0.0000 0.0000 0.0000 [2 per cell]
Pt 0.0000 0.5000 0.0000 [2 per cell]
Cl 0.2500 0.2500 0.5000 [4 per cell]



CrPtCl: optimized geometry, PBE.

Size of the total moment: 3.33 μB/f.u.
D(E_F): 0.743 states/eV/atom
Mass density: 8578 kg/m³
Volume: 109 Å³ per cell
E_form (uncorrected): -3.0 kcal/mol of atoms

Cell: 5.7735 3.0466 6.8587 Å, 90.00 114.95 90.00°
Space group Pm (No. 6)
Inequivalent atoms, fractional coordinates:
Cr 0.0000 0.0000 0.0000 [1 per cell]
Cr 0.4856 0.0000 0.9977 [1 per cell]
Pt 0.1088 0.5000 0.7305 [1 per cell]
Pt 0.6248 0.5000 0.7604 [1 per cell]
Cl 0.3651 0.5000 0.2466 [1 per cell]
Cl 0.8873 0.0000 0.2905 [1 per cell]



no.,energy (eV per atom)
1,-4.707
2,-4.769
3,-5.966